# Pm9YTl2 (PBE, optimized geometry)
# Energy of formation ... -123.4 meV/atom
# Final energy ... -4.6194 eV per atom
data_Pm9YTl2
_chemical_formula_sum 'Pm9 Y1 Tl2'
_cell_length_a 4.981
_cell_length_b 4.981
_cell_length_c 15.339
_cell_angle_alpha 90.00
_cell_angle_beta 90.00
_cell_angle_gamma 90.00
_space_group_name_H-M_alt 'P 4/m m m'
_space_group_IT_number 123
_space_group_name_Hall '-P 4 2'
loop_
_atom_site_label
_atom_site_fract_x
_atom_site_fract_y
_atom_site_fract_z
Pm1 0.000 0.000 0.000
Pm2 0.000 0.000 0.337
Pm3 0.000 0.500 0.173
Pm4 0.000 0.500 0.500
Y1 0.500 0.500 0.000
Tl1 0.500 0.500 0.340